Entry from Alexandria via LeMat-Bulk: RbFeSeBr2 after structural relaxation (GGA-PBE).

Computed properties:
- Uncorrected formation energy: -0.669 eV per atom
- M_tot: 4.2 μB/cell
- DOS at the Fermi energy: 0.5466 states/eV/atom
- Polymorph energy (0 for the lowest one): 0 meV per atom
- Uncorrected energy: -19.61 eV/f.u.

abc: 5.4431 5.4431 4.7845
angles: 90.00 90.00 90.00
Last column: nearest neighbours and their distance in Å.
Positions (direct):
Br: 0.5000 0.0000 0.0000  2 Fe 2.72
Br: 0.0000 0.5000 0.0000  2 Fe 2.72
Fe: 0.0000 0.0000 0.0000  2 Se 2.39
Se: 0.0000 0.0000 0.5000  2 Fe 2.39
Rb: 0.5000 0.5000 0.5000  8 Br 3.62, 4 Se 3.85



Entry from Alexandria via LeMat-Bulk: Cu2HgCl2 after structural relaxation (GGA-PBE).

Computed properties:
- Uncorrected formation energy: -0.204 eV per atom
- M_tot: 0.0 μB/cell
- DOS at the Fermi energy: 0.0000 states/eV/atom
- Polymorph energy (0 for the lowest one): 54 meV per atom
- Uncorrected energy: -13.21 eV/f.u.

abc: 4.7988 4.7988 7.1881
angles: 70.50 70.50 90.00
Last column: nearest neighbours and their distance in Å.
Positions (direct):
Cl: 0.7500 0.2500 0.5000  4 Cu 2.46
Cl: 0.2500 0.7500 0.5000  4 Cu 2.46
Cu: 0.7911 0.7911 0.4179  4 Cl 2.46, 1 Hg 2.65
Cu: 0.2089 0.2089 0.5821  4 Cl 2.46, 1 Hg 2.65
Hg: 0.0000 0.0000 0.0000  2 Cu 2.65



Entry from Alexandria via LeMat-Bulk: HfIn2GaCl6 after structural relaxation (GGA-PBE).

Computed properties:
- Uncorrected formation energy: -1.151 eV per atom
- M_tot: 1.0 μB/cell
- DOS at the Fermi energy: 0.0905 states/eV/atom
- Uncorrected energy: -41.05 eV/f.u.

abc: 6.5957 7.0833 7.5189
angles: 118.10 98.96 90.00
Last column: nearest neighbours and their distance in Å.
Positions (direct):
Cl: 0.8497 0.8425 0.1943  1 Hf 2.47
Cl: 0.6912 0.3659 0.7318  1 Hf 2.46
Cl: 0.1503 0.6481 0.8057  1 Hf 2.47
Cl: 0.8497 0.3519 0.1943  1 Hf 2.47
Cl: 0.3088 0.6341 0.2682  1 Hf 2.46
Cl: 0.1503 0.1575 0.8057  1 Hf 2.47
In: 0.2500 0.1856 0.3713  1 Ga 3.20, 5 Cl 3.24-3.52
In: 0.7500 0.8144 0.6287  1 Ga 3.20, 5 Cl 3.24-3.52
Hf: 0.0000 0.5000 0.0000  6 Cl 2.46-2.47
Ga: 0.5000 0.0000 0.0000  4 Cl 3.03, 2 In 3.20



What is the formula in the second record? Cu2HgCl2